Record 1
The following is a DFT calculation (PBE-GGA) of an optimized crystal structure of Ba3GdIrRuO9.

Crystal system: hexagonal
Uncorrected formation energy in eV/atom: -2.140
SG: No. 186
D(E_F) in states/eV/f.u.: 6.5
Magnetization in μB/cell: 16.8

Lattice parameters (Å, degrees): 5.976 5.976 14.775 90.00 90.00 120.00
Sites, in units of the cell vectors:
Ba (0.000, 0.000, 0.000)
Ba (0.000, 0.000, 0.500)
Ba (0.333, 0.667, 0.157)
Ba (0.333, 0.667, 0.846)
Ba (0.667, 0.333, 0.346)
Ba (0.667, 0.333, 0.657)
Gd (0.000, 0.000, 0.250)
Gd (0.000, 0.000, 0.750)
Ir (0.333, 0.667, 0.414)
Ir (0.667, 0.333, 0.914)
Ru (0.333, 0.667, 0.585)
Ru (0.667, 0.333, 0.085)
O (0.020, 0.510, 0.499)
O (0.177, 0.354, 0.336)
O (0.177, 0.354, 0.659)
O (0.177, 0.823, 0.336)
O (0.177, 0.823, 0.659)
O (0.354, 0.177, 0.159)
O (0.354, 0.177, 0.836)
O (0.490, 0.510, 0.499)
O (0.490, 0.980, 0.499)
O (0.510, 0.020, 0.999)
O (0.510, 0.490, 0.999)
O (0.646, 0.823, 0.336)
O (0.646, 0.823, 0.659)
O (0.823, 0.177, 0.159)
O (0.823, 0.177, 0.836)
O (0.823, 0.646, 0.159)
O (0.823, 0.646, 0.836)
O (0.980, 0.490, 0.999)

=====

Record 2
The following is a DFT calculation (PBE-GGA) of an optimized crystal structure of Sm7Ho2Er4.

Crystal system: triclinic
SG: No. 2
D(E_F) in states/eV/f.u.: 15.5
E_form in eV per atom: 0.0148
Magnetization in μB/cell: 0.0

Lattice parameters (Å, degrees): 6.182 7.982 9.467 65.07 89.78 82.56
Sites, in units of the cell vectors:
Sm (0.000, 0.000, 0.000)
Sm (0.077, 0.539, 0.307)
Sm (0.231, 0.616, 0.923)
Sm (0.386, 0.694, 0.538)
Sm (0.614, 0.306, 0.462)
Sm (0.769, 0.384, 0.077)
Sm (0.923, 0.461, 0.693)
Ho (0.154, 0.076, 0.615)
Ho (0.846, 0.924, 0.385)
Er (0.307, 0.152, 0.231)
Er (0.461, 0.228, 0.847)
Er (0.539, 0.772, 0.153)
Er (0.693, 0.848, 0.769)